Record 1
VASP calculation (PBE-GGA) on an optimized crystal structure of Ce6SiBi.

Lattice parameters (Å, degrees): 4.701 4.701 9.405 90.00 90.00 90.00
Space group P4/mmm (No. 123)
Symmetry-distinct sites (fractional):
Ce1 0.000 0.000 0.000 x1
Ce2 0.000 0.000 0.500 x1
Ce3 0.000 0.500 0.230 x4
Si1 0.500 0.500 0.000 x1
Bi1 0.500 0.500 0.500 x1

Uncorrected formation energy (eV/atom): -0.377
Density of states at the Fermi level (states/eV/cell): 21.47
Magnetization (μB/atom): 0.64
DFT total energy (eV per atom): -5.990


Record 2
VASP calculation (PBE-GGA) on an optimized crystal structure of La2Sm3Dy6Sc.

Lattice parameters (Å, degrees): 6.191 10.722 11.841 90.00 100.02 90.00
Space group C2/m (No. 12)
Symmetry-distinct sites (fractional):
La1 0.000 0.166 0.000 x4
Sm1 0.000 0.000 0.500 x2
Sm2 0.000 0.333 0.500 x4
Dy1 0.247 0.500 0.749 x4
Dy2 0.248 0.335 0.250 x8
Sc1 0.000 0.500 0.000 x2

Formation energy from the elements (kJ/mol of atoms): 2.5
Density of states at the Fermi level (states/eV/cell): 31.01
Magnetization (μB/atom): 0.00
DFT total energy (eV per atom): -4.803


Record 3
VASP calculation (PBE-GGA) on an optimized crystal structure of Zr3Mn.

Lattice parameters (Å, degrees): 3.247 3.247 7.450 90.00 90.00 90.00
Space group P4/mmm (No. 123)
Symmetry-distinct sites (fractional):
Zr1 0.000 0.000 0.000 x1
Zr2 0.500 0.500 0.292 x2
Mn1 0.000 0.000 0.500 x1

Formation energy from the elements (kJ/mol of atoms): 0.5
Density of states at the Fermi level (states/eV/cell): 5.19
Magnetization (μB/atom): 0.00
DFT total energy (eV per atom): -8.698


> What is the DFT total energy in the second record?

-4.803 eV per atom